BeCu2Ir | GGA-PBEsol | relaxed

Energy of formation = 0.063 eV per atom
Raw total energy = -5.560 eV/atom
V = 46.21 Å³/cell

a b c (Å): 2.577 3.643 4.923
angles (deg): 90.00 90.00 90.00
Sites, in units of the cell vectors:
Be: 0.000 0.000 0.000
Cu: 0.500 0.500 0.237
Cu: 0.500 0.500 0.763
Ir: 0.000 0.000 0.500

TiCo2 | GGA-PBEsol | relaxed

Energy of formation = -0.345 eV per atom
Raw total energy = -8.277 eV/atom
V = 140.54 Å³/cell

a b c (Å): 4.639 4.639 7.541
angles (deg): 90.00 90.00 120.00
Sites, in units of the cell vectors:
Ti: 0.333 0.667 0.067
Ti: 0.333 0.667 0.433
Ti: 0.667 0.333 0.567
Ti: 0.667 0.333 0.933
Co: 0.000 0.000 0.000
Co: 0.000 0.000 0.500
Co: 0.170 0.339 0.750
Co: 0.170 0.830 0.750
Co: 0.339 0.170 0.250
Co: 0.661 0.830 0.750
Co: 0.830 0.170 0.250
Co: 0.830 0.661 0.250

SrCo2Te | GGA-PBEsol | relaxed

Raw total energy = -4.982 eV/atom
Formation energy (no corrections) = 0.228 eV/atom
V = 78.05 Å³/cell

a b c (Å): 3.307 3.307 7.136
angles (deg): 90.00 90.00 90.00
Sites, in units of the cell vectors:
Sr: 0.000 0.000 0.000
Co: 0.000 0.000 0.574
Co: 0.500 0.500 0.701
Te: 0.500 0.500 0.354

Question: Which value of raw total energy does entry 3 give?
Answer: -4.982 eV/atom

Question: The highest V belongs to which entry?
Answer: TiCo2

Question: Among the records above, which one has the lowest raw total energy?
Answer: TiCo2